1.
5
Lattice="-1.632 1.632 3.946 1.632 -1.632 3.946 1.632 1.632 -3.946" Properties=species:S:1:pos:R:3 comment="TiNi2H2 | Alexandria via LeMat-Bulk | GGA-PBE | relaxed" e_above_lowest_polymorph_ev_per_atom=0.000 pbc="T T T"
Ti 0.000 0.000 0.000
Ni 0.000 0.000 2.648
Ni 0.000 0.000 5.245
H 1.632 0.000 1.973
H 0.000 1.632 1.973

=====

2.
6
Lattice="1.511 -4.778 0.000 1.511 4.778 0.000 0.000 0.000 4.014" Properties=species:S:1:pos:R:3 comment="TiNiH | Alexandria via LeMat-Bulk | GGA-PBE | relaxed" e_above_lowest_polymorph_ev_per_atom=0.000 pbc="T T T"
Ti 1.511 3.380 3.011
Ti 1.511 -3.380 1.004
Ni 1.511 0.717 3.011
Ni 1.511 -0.717 1.004
H 1.511 2.848 1.004
H 1.511 -2.848 3.011

=====

3.
8
Lattice="2.436 1.407 4.277 -2.436 1.407 4.277 0.000 -2.813 4.277" Properties=species:S:1:pos:R:3 comment="TiNi6H | Alexandria via LeMat-Bulk | GGA-PBE | relaxed" dft_energy_ev_per_atom=-5.73 pbc="T T T"
Ti 0.000 0.000 0.000
Ni -1.266 -0.731 5.431
Ni 0.000 -1.462 7.402
Ni -1.266 0.731 7.402
Ni 1.266 -0.731 5.431
Ni 0.000 1.462 5.431
Ni 1.266 0.731 7.402
H 0.000 0.000 6.416

=====

4.
8
Lattice="3.329 0.000 0.000 0.000 4.042 0.000 -0.834 0.000 7.030" Properties=species:S:1:pos:R:3 comment="Ti2NiH | Alexandria via LeMat-Bulk | GGA-PBE | relaxed" e_above_lowest_polymorph_ev_per_atom=0.055 pbc="T T T"
Ti 0.591 1.010 0.933
Ti 0.409 3.031 3.343
Ti 2.085 1.010 3.687
Ti 1.903 3.031 6.098
Ni 0.342 1.010 5.585
Ni 2.153 3.031 1.446
H 0.427 1.010 2.858
H 2.068 3.031 4.172

=====

5.
32
Lattice="0.000 5.702 5.702 5.702 0.000 5.702 5.702 5.702 0.000" Properties=species:S:1:pos:R:3 comment="Ti2NiH | Alexandria via LeMat-Bulk | GGA-PBE | relaxed" e_above_lowest_polymorph_ev_per_atom=0.000 pbc="T T T"
Ti 0.000 0.000 0.000
Ti 2.851 2.851 0.000
Ti 2.851 0.000 2.851
Ti 4.276 4.276 2.114
Ti 4.276 2.114 4.276
Ti 6.439 4.276 4.276
Ti 7.127 7.127 4.965
Ti 7.127 4.965 7.127
Ti 9.290 7.127 7.127
Ti 0.000 2.851 2.851
Ti 2.114 4.276 4.276
Ti 4.276 6.439 4.276
Ti 4.276 4.276 6.439
Ti 4.965 7.127 7.127
Ti 7.127 9.290 7.127
Ti 7.127 7.127 9.290
Ni 8.955 5.300 5.300
Ni 2.449 2.449 2.449
Ni 6.104 6.104 2.449
Ni 6.104 2.449 6.104
Ni 5.300 8.955 5.300
Ni 5.300 5.300 8.955
Ni 8.955 8.955 8.955
Ni 2.449 6.104 6.104
H 5.702 2.851 2.851
H 1.425 1.425 1.425
H 4.276 4.276 4.276
H 2.851 5.702 2.851
H 2.851 2.851 5.702
H 5.702 5.702 5.702
H 7.127 7.127 7.127
H 9.978 9.978 9.978

=====

6.
8
Lattice="-2.803 2.803 3.091 2.803 -2.803 3.091 2.803 2.803 -3.091" Properties=species:S:1:pos:R:3 comment="Ti2NiH | Alexandria via LeMat-Bulk | GGA-PBE | relaxed" e_above_lowest_polymorph_ev_per_atom=0.118 pbc="T T T"
Ti 4.205 1.015 -0.773
Ti 1.015 1.402 0.773
Ti -1.402 1.788 2.318
Ti 1.788 1.402 3.863
Ni 2.803 0.000 1.545
Ni 0.000 0.000 3.091
H 0.000 0.000 0.000
H 0.000 2.803 1.545

=====

7.
9
Lattice="3.809 -2.172 0.000 3.809 2.172 0.000 -2.454 0.000 3.588" Properties=species:S:1:pos:R:3 comment="Ti2NiH6 | Alexandria via LeMat-Bulk | GGA-PBE | relaxed" dft_energy_ev_per_atom=-4.86 pbc="T T T"
Ti 1.300 0.000 0.883
Ti 3.865 0.000 2.705
Ni -1.227 0.000 1.794
H 0.131 0.000 2.729
H 3.218 1.025 0.838
H 1.947 1.025 2.751
H 3.218 -1.025 0.838
H 1.947 -1.025 2.751
H 5.034 0.000 0.859

=====

8.
10
Lattice="5.196 0.000 0.000 0.000 5.196 0.000 0.000 0.000 3.370" Properties=species:S:1:pos:R:3 comment="TiNi2H2 | Alexandria via LeMat-Bulk | GGA-PBE | relaxed" e_above_lowest_polymorph_ev_per_atom=0.072 pbc="T T T"
Ti 0.000 0.000 0.000
Ti 2.598 2.598 0.000
Ni 0.846 1.752 1.685
Ni 1.752 4.350 1.685
Ni 3.444 0.846 1.685
Ni 4.350 3.444 1.685
H 0.802 1.796 0.000
H 1.796 4.394 0.000
H 3.400 0.802 0.000
H 4.394 3.400 0.000